A plane-wave DFT calculation with PBE was carried out for AcMg4Pb4 after structural relaxation.

Values from the calculation:
VASP energy: -0.108 Ha/atom
DFT formation energy: -0.11 eV per atom
SG: P4_2/nmc
crystal system: tetragonal

Structure (POSCAR):
```
AcMg4Pb4
1.0
7.1304 0.0000 0.0000
0.0000 7.1304 0.0000
0.0000 0.0000 10.3288
Ac Mg Pb
2 8 8
direct
0.2500 0.7500 0.2500
0.7500 0.2500 0.7500
0.0325 0.2500 0.1718
0.2500 0.0325 0.6718
0.2500 0.4675 0.6718
0.4675 0.2500 0.1718
0.5325 0.7500 0.8282
0.7500 0.5325 0.3282
0.7500 0.9675 0.3282
0.9675 0.7500 0.8282
0.0178 0.2500 0.4605
0.2500 0.0178 0.9605
0.2500 0.4822 0.9605
0.4822 0.2500 0.4605
0.5178 0.7500 0.5395
0.7500 0.5178 0.0395
0.7500 0.9822 0.0395
0.9822 0.7500 0.5395
```